MgRe after structural relaxation. Source: OQMD, functional GGA-PBE.

Unit cell a=5.564 b=4.510 c=15.604 alpha=90.00 beta=90.10 gamma=90.00
Space group P2_1/m (No. 11)
Unique sites:
Mg: 0.074 0.250 0.307
Mg: 0.076 0.750 0.193
Mg: 0.214 0.250 0.624
Mg: 0.214 0.750 0.876
Mg: 0.312 0.250 0.129
Mg: 0.312 0.750 0.371
Re: 0.074 0.250 0.972
Re: 0.074 0.750 0.528
Re: 0.424 0.250 0.792
Re: 0.426 0.750 0.708
Re: 0.433 0.250 0.463
Re: 0.434 0.750 0.037

Values from the calculation:
- ΔE to the lowest computed polymorph (meV/atom) = 198.7
- DFT total energy (eV/atom) = -6.715